No. 1
A plane-wave DFT calculation with GGA-PBEsol was carried out for an optimized crystal structure of NaSbI2Cl.

Cell: 5.4186 5.4186 5.7539 Å, 90.00 90.00 90.00°
Closest atoms and distances in Å follow each position.
Positions (direct):
Na1 0.0000 0.0000 0.0000  4 I 2.71, 2 Sb 2.88
Sb1 0.0000 0.0000 0.5000  2 Na 2.88
I1 0.0000 0.5000 0.0000  2 Na 2.71
I2 0.5000 0.0000 0.0000  2 Na 2.71
Cl1 0.5000 0.5000 0.5000  4 Sb 3.83, 8 I 3.95

Summary:
**V**: 33.79 Å³/atom
**Total magnetic moment**: 0.0 μB/f.u.


No. 2
A plane-wave DFT calculation with GGA-PBEsol was carried out for an optimized crystal structure of NaTeI2Cl.

Cell: 5.4795 5.4795 5.6732 Å, 90.00 90.00 90.00°
Closest atoms and distances in Å follow each position.
Positions (direct):
Na1 0.0000 0.0000 0.0000  4 I 2.74, 2 Te 2.84
Te1 0.0000 0.0000 0.5000  2 Na 2.84
I1 0.0000 0.5000 0.0000  2 Na 2.74
I2 0.5000 0.0000 0.0000  2 Na 2.74
Cl1 0.5000 0.5000 0.5000  4 Te 3.87, 8 I 3.94

Summary:
**V**: 34.07 Å³/atom
**Total magnetic moment**: 0.0 μB/f.u.


No. 3
A plane-wave DFT calculation with GGA-PBEsol was carried out for an optimized crystal structure of NaTi2ICl.

Cell: 5.1631 5.1631 6.0966 Å, 90.00 90.00 90.00°
Closest atoms and distances in Å follow each position.
Positions (direct):
Na1 0.0000 0.0000 0.0000  2 I 3.05
Ti1 0.0000 0.5000 0.5000  2 I 2.58
Ti2 0.5000 0.0000 0.5000  2 I 2.58
I1 0.0000 0.0000 0.5000  4 Ti 2.58
Cl1 0.5000 0.5000 0.0000  4 Na 3.65, 8 Ti 3.99

Summary:
**V**: 32.50 Å³/atom
**Total magnetic moment**: 6.1 μB/f.u.


No. 4
A plane-wave DFT calculation with GGA-PBEsol was carried out for an optimized crystal structure of Nb3ICl6.

Cell: 12.5424 12.5424 12.5424 Å, 90.00 90.00 90.00°
Closest atoms and distances in Å follow each position.
Positions (direct):
Nb1 0.0437 0.1454 0.5605  4 Cl 2.43-2.45
Nb2 0.0437 0.3546 0.0605  4 Cl 2.43-2.45
Nb3 0.0605 0.0437 0.3546  4 Cl 2.43-2.45
Nb4 0.0605 0.4563 0.8546  4 Cl 2.43-2.45
Nb5 0.1454 0.5605 0.0437  4 Cl 2.43-2.45
Nb6 0.1454 0.9395 0.5437  4 Cl 2.43-2.45
Nb7 0.3546 0.0605 0.0437  4 Cl 2.43-2.45
Nb8 0.3546 0.4395 0.5437  4 Cl 2.43-2.45
Nb9 0.4395 0.5437 0.3546  4 Cl 2.43-2.45
Nb10 0.4395 0.9563 0.8546  4 Cl 2.43-2.45
Nb11 0.4563 0.6454 0.5605  4 Cl 2.43-2.45
Nb12 0.4563 0.8546 0.0605  4 Cl 2.43-2.45
Nb13 0.5437 0.1454 0.9395  4 Cl 2.43-2.45
Nb14 0.5437 0.3546 0.4395  4 Cl 2.43-2.45
Nb15 0.5605 0.0437 0.1454  4 Cl 2.43-2.45
Nb16 0.5605 0.4563 0.6454  4 Cl 2.43-2.45
Nb17 0.6454 0.5605 0.4563  4 Cl 2.43-2.45
Nb18 0.6454 0.9395 0.9563  4 Cl 2.43-2.45
Nb19 0.8546 0.0605 0.4563  4 Cl 2.43-2.45
Nb20 0.8546 0.4395 0.9563  4 Cl 2.43-2.45
Nb21 0.9395 0.5437 0.1454  4 Cl 2.43-2.45
Nb22 0.9395 0.9563 0.6454  4 Cl 2.43-2.45
Nb23 0.9563 0.6454 0.9395  4 Cl 2.43-2.45
Nb24 0.9563 0.8546 0.4395  4 Cl 2.43-2.45
I1 0.1296 0.1296 0.1296  3 Nb 3.14, 3 Cl 3.44
I2 0.1296 0.3704 0.6296  3 Nb 3.14, 3 Cl 3.44
I3 0.3704 0.6296 0.1296  3 Nb 3.14, 3 Cl 3.44
I4 0.3704 0.8704 0.6296  3 Nb 3.14, 3 Cl 3.44
I5 0.6296 0.1296 0.3704  3 Nb 3.14, 3 Cl 3.44
I6 0.6296 0.3704 0.8704  3 Nb 3.14, 3 Cl 3.44
I7 0.8704 0.6296 0.3704  3 Nb 3.14, 3 Cl 3.44
I8 0.8704 0.8704 0.8704  3 Nb 3.14, 3 Cl 3.44
Cl1 0.0210 0.6196 0.7566  2 Nb 2.44-2.45
Cl2 0.0210 0.8804 0.2566  2 Nb 2.44-2.45
Cl3 0.1001 0.6238 0.2211  2 Nb 2.43-2.44
Cl4 0.1001 0.8762 0.7211  2 Nb 2.43-2.44
Cl5 0.1196 0.7434 0.9790  2 Nb 2.44-2.45
Cl6 0.1196 0.7566 0.4790  2 Nb 2.44-2.45
Cl7 0.1238 0.2211 0.3999  2 Nb 2.43-2.44
Cl8 0.1238 0.2789 0.8999  2 Nb 2.43-2.44
Cl9 0.2211 0.1001 0.6238  2 Nb 2.43-2.44
Cl10 0.2211 0.3999 0.1238  2 Nb 2.43-2.44
Cl11 0.2434 0.5210 0.8804  2 Nb 2.44-2.45
Cl12 0.2434 0.9790 0.3804  2 Nb 2.44-2.45
Cl13 0.2566 0.0210 0.8804  2 Nb 2.44-2.45
Cl14 0.2566 0.4790 0.3804  2 Nb 2.44-2.45
Cl15 0.2789 0.6001 0.6238  2 Nb 2.43-2.44
Cl16 0.2789 0.8999 0.1238  2 Nb 2.43-2.44
Cl17 0.3762 0.7211 0.3999  2 Nb 2.43-2.44
Cl18 0.3762 0.7789 0.8999  2 Nb 2.43-2.44
Cl19 0.3804 0.2434 0.9790  2 Nb 2.44-2.45
Cl20 0.3804 0.2566 0.4790  2 Nb 2.44-2.45
Cl21 0.3999 0.1238 0.2211  2 Nb 2.43-2.44
Cl22 0.3999 0.3762 0.7211  2 Nb 2.43-2.44
Cl23 0.4790 0.1196 0.7566  2 Nb 2.44-2.45
Cl24 0.4790 0.3804 0.2566  2 Nb 2.44-2.45
Cl25 0.5210 0.6196 0.7434  2 Nb 2.44-2.45
Cl26 0.5210 0.8804 0.2434  2 Nb 2.44-2.45
Cl27 0.6001 0.6238 0.2789  2 Nb 2.43-2.44
Cl28 0.6001 0.8762 0.7789  2 Nb 2.43-2.44
Cl29 0.6196 0.7434 0.5210  2 Nb 2.44-2.45
Cl30 0.6196 0.7566 0.0210  2 Nb 2.44-2.45
Cl31 0.6238 0.2211 0.1001  2 Nb 2.43-2.44
Cl32 0.6238 0.2789 0.6001  2 Nb 2.43-2.44
Cl33 0.7211 0.1001 0.8762  2 Nb 2.43-2.44
Cl34 0.7211 0.3999 0.3762  2 Nb 2.43-2.44
Cl35 0.7434 0.5210 0.6196  2 Nb 2.44-2.45
Cl36 0.7434 0.9790 0.1196  2 Nb 2.44-2.45
Cl37 0.7566 0.0210 0.6196  2 Nb 2.44-2.45
Cl38 0.7566 0.4790 0.1196  2 Nb 2.44-2.45
Cl39 0.7789 0.6001 0.8762  2 Nb 2.43-2.44
Cl40 0.7789 0.8999 0.3762  2 Nb 2.43-2.44
Cl41 0.8762 0.7211 0.1001  2 Nb 2.43-2.44
Cl42 0.8762 0.7789 0.6001  2 Nb 2.43-2.44
Cl43 0.8804 0.2434 0.5210  2 Nb 2.44-2.45
Cl44 0.8804 0.2566 0.0210  2 Nb 2.44-2.45
Cl45 0.8999 0.1238 0.2789  2 Nb 2.43-2.44
Cl46 0.8999 0.3762 0.7789  2 Nb 2.43-2.44
Cl47 0.9790 0.1196 0.7434  2 Nb 2.44-2.45
Cl48 0.9790 0.3804 0.2434  2 Nb 2.44-2.45

Summary:
**V**: 24.66 Å³/atom
**Total magnetic moment**: 0.0 μB/f.u.


No. 5
A plane-wave DFT calculation with GGA-PBEsol was carried out for an optimized crystal structure of NiI2Cl.

Cell: 7.0199 7.0199 7.0199 Å, 90.00 90.00 90.00°
Closest atoms and distances in Å follow each position.
Positions (direct):
Ni1 0.0000 0.0000 0.0000  8 I 3.04
Ni2 0.0000 0.5000 0.5000  8 I 3.04
Ni3 0.5000 0.0000 0.5000  8 I 3.04
Ni4 0.5000 0.5000 0.0000  8 I 3.04
I1 0.2500 0.2500 0.2500  4 Ni 3.04, 4 Cl 3.04
I2 0.2500 0.2500 0.7500  4 Cl 3.04, 4 Ni 3.04
I3 0.2500 0.7500 0.2500  4 Cl 3.04, 4 Ni 3.04
I4 0.2500 0.7500 0.7500  4 Ni 3.04, 4 Cl 3.04
I5 0.7500 0.2500 0.2500  4 Cl 3.04, 4 Ni 3.04
I6 0.7500 0.2500 0.7500  4 Ni 3.04, 4 Cl 3.04
I7 0.7500 0.7500 0.2500  4 Ni 3.04, 4 Cl 3.04
I8 0.7500 0.7500 0.7500  4 Cl 3.04, 4 Ni 3.04
Cl1 0.0000 0.0000 0.5000  8 I 3.04
Cl2 0.0000 0.5000 0.0000  8 I 3.04
Cl3 0.5000 0.0000 0.0000  8 I 3.04
Cl4 0.5000 0.5000 0.5000  8 I 3.04

Summary:
**V**: 21.62 Å³/atom
**Total magnetic moment**: 0.8 μB/f.u.


No. 6
A plane-wave DFT calculation with GGA-PBEsol was carried out for an optimized crystal structure of TiIClO2.

Cell: 3.8496 3.8496 5.8708 Å, 90.00 90.00 90.00°
Closest atoms and distances in Å follow each position.
Positions (direct):
Ti1 0.0000 0.0000 0.0000  4 O 1.92
I1 0.0000 0.0000 0.5000  4 Cl 2.72, 2 Ti 2.94
Cl1 0.5000 0.5000 0.5000  4 I 2.72
O1 0.0000 0.5000 0.0000  2 Ti 1.92
O2 0.5000 0.0000 0.0000  2 Ti 1.92

Summary:
**V**: 17.40 Å³/atom
**Total magnetic moment**: 0.0 μB/f.u.


No. 7
A plane-wave DFT calculation with GGA-PBEsol was carried out for an optimized crystal structure of OsI2Cl2.

Cell: 4.0544 4.0544 18.8612 Å, 90.00 90.00 90.00°
Closest atoms and distances in Å follow each position.
Positions (direct):
Os1 0.0000 0.0000 0.0000  8 Cl 3.23
Os2 0.5000 0.5000 0.5000  8 Cl 3.23
I1 0.0000 0.5000 0.2500  4 I 2.87
I2 0.0000 0.5000 0.7500  4 I 2.87
I3 0.5000 0.0000 0.2500  4 I 2.87
I4 0.5000 0.0000 0.7500  4 I 2.87
Cl1 0.0000 0.0000 0.4215  1 Cl 2.96, 4 Os 3.23
Cl2 0.0000 0.0000 0.5785  1 Cl 2.96, 4 Os 3.23
Cl3 0.5000 0.5000 0.0785  1 Cl 2.96, 4 Os 3.23
Cl4 0.5000 0.5000 0.9215  1 Cl 2.96, 4 Os 3.23

Summary:
**V**: 31.00 Å³/atom
**Total magnetic moment**: 4.1 μB/f.u.


No. 8
A plane-wave DFT calculation with GGA-PBEsol was carried out for an optimized crystal structure of OsSICl2.

Cell: 4.7951 4.7951 4.5226 Å, 90.00 90.00 90.00°
Closest atoms and distances in Å follow each position.
Positions (direct):
Os1 0.0000 0.0000 0.0000  2 S 2.26, 4 Cl 2.40
S1 0.0000 0.0000 0.5000  2 Os 2.26
I1 0.5000 0.5000 0.5000  8 Cl 3.30, 4 S 3.39
Cl1 0.0000 0.5000 0.0000  2 Os 2.40
Cl2 0.5000 0.0000 0.0000  2 Os 2.40

Summary:
**V**: 20.80 Å³/atom
**Total magnetic moment**: 0.0 μB/f.u.


Values of formation energy from raw total energies, in order: 1.48; 1.43; 3.16; -11.92; 2.17; -6.28; 7.01; 1.33, all in eV/f.u..
Values of E, in order: -2.0044; -1.8076; -3.7324; -5.8199; -2.3830; -5.7759; -2.5509; -4.2096, all in eV per atom.